Entry 1:
VASP calculation (PBE) on a geometry-optimized HfPdW structure.

Structure (extended XYZ):
```
3
Lattice="4.055 -0.115 1.696 0.625 0.862 4.266 1.141 -3.234 2.752" Properties=species:S:1:pos:R:3 pbc="T T T"
Hf 1.455 -0.622 2.179
Pd 0.000 0.000 0.000
W 4.366 -1.865 6.536
```

Values from the calculation:
- Energy: -26.4 eV/cell
- Crystal system: cubic
- E above lowest polymorph: 0 meV per atom
- Space group: No. 216

=====

Entry 2:
VASP calculation (PBE) on a geometry-optimized KSmSbTe3 structure.

Structure (extended XYZ):
```
12
Lattice="2.278 -8.558 0.000 2.278 8.558 0.000 0.000 0.000 11.283" Properties=species:S:1:pos:R:3 pbc="T T T"
K 2.278 3.967 2.821
K 2.278 -3.967 8.463
Sb 2.278 -8.038 2.821
Sb 2.278 8.038 8.463
Sm 2.278 0.000 0.000
Sm 2.278 0.000 5.642
Te 2.278 -6.340 0.415
Te 2.278 -1.790 2.821
Te 2.278 -6.340 5.227
Te 2.278 6.340 6.057
Te 2.278 1.790 8.463
Te 2.278 6.340 10.868
```

Values from the calculation:
- Energy: -47.5 eV/cell
- Crystal system: orthorhombic
- Space group: No. 63

=====

Entry 3:
VASP calculation (PBE) on a geometry-optimized LuPuGa structure.

Structure (extended XYZ):
```
3
Lattice="0.216 -1.298 4.681 -2.143 2.752 3.387 -3.993 -1.602 2.265" Properties=species:S:1:pos:R:3 pbc="T T T"
Ga 0.000 0.000 0.000
Lu -1.480 -0.037 2.583
Pu -4.440 -0.111 7.749
```

Values from the calculation:
- Energy: -21.9 eV/cell
- Crystal system: cubic
- E above lowest polymorph: 0 meV per atom
- Space group: No. 216

=====

Entry 4:
VASP calculation (PBE) on a geometry-optimized Ni4B3 structure.

Structure (extended XYZ):
```
28
Lattice="11.973 0.000 0.000 0.000 2.995 0.000 0.000 0.000 6.579" Properties=species:S:1:pos:R:3 pbc="T T T"
B 6.451 0.749 0.144
B 11.678 0.749 0.406
B 2.904 2.247 1.198
B 8.891 2.247 2.091
B 5.692 0.749 2.883
B 0.464 0.749 3.145
B 11.510 2.247 3.433
B 6.282 2.247 3.696
B 3.083 0.749 4.488
B 9.069 0.749 5.380
B 0.295 2.247 6.172
B 5.523 2.247 6.435
Ni 10.192 2.247 0.049
Ni 8.383 0.749 0.790
Ni 4.506 0.749 1.111
Ni 6.584 2.247 1.639
Ni 0.597 2.247 1.650
Ni 10.493 0.749 2.178
Ni 2.396 0.749 2.500
Ni 4.205 2.247 3.240
Ni 7.768 0.749 3.339
Ni 9.577 2.247 4.079
Ni 1.480 2.247 4.400
Ni 11.377 0.749 4.929
Ni 5.390 0.749 4.939
Ni 7.467 2.247 5.468
Ni 3.591 2.247 5.789
Ni 1.781 0.749 6.529
```

Values from the calculation:
- Energy: -177.1 eV/cell
- Crystal system: orthorhombic
- Space group: No. 62